(1)
! PBE NaCe2PaS6, optimized geometry; values from VASP
! formation energy (no corrections): -14.19 eV per formula unit
! total magnetization: 2.0 μB/f.u.
! V: 281 Å³/f.u.
&SYSTEM
  ibrav = 0, nat = 10, ntyp = 4
/
ATOMIC_SPECIES
S 32.06 S.upf
Ce 140.12 Ce.upf
Pa 231.04 Pa.upf
Na 22.99 Na.upf
ATOMIC_POSITIONS crystal
S 0.752 0.747 0.747
S 0.140 0.500 0.500
S 0.199 0.000 0.000
S 0.752 0.747 0.253
S 0.752 0.253 0.747
S 0.752 0.253 0.253
Ce 0.995 0.000 0.500
Ce 0.995 0.500 0.000
Pa 0.590 0.000 0.000
Na 0.519 0.500 0.500
CELL_PARAMETERS angstrom
6.839 0.000 0.000
0.000 6.415 0.000
0.000 0.000 6.415

(2)
! PBE Na2CePaS4, optimized geometry; values from VASP
! formation energy (no corrections): -12.66 eV per formula unit
! total magnetization: 3.0 μB/f.u.
! V: 190 Å³/f.u.
&SYSTEM
  ibrav = 0, nat = 8, ntyp = 4
/
ATOMIC_SPECIES
S 32.06 S.upf
Na 22.99 Na.upf
Ce 140.12 Ce.upf
Pa 231.04 Pa.upf
ATOMIC_POSITIONS crystal
S 0.500 0.745 0.765
S 0.000 0.263 0.767
S 0.500 0.255 0.235
S 0.000 0.737 0.233
Na 0.000 0.500 0.500
Na 0.500 0.000 0.500
Ce 0.000 0.000 0.000
Pa 0.500 0.500 0.000
CELL_PARAMETERS angstrom
-0.177 -3.780 -1.328
6.837 0.202 -1.487
-0.833 -2.318 6.710

(3)
! PBE Na4Ce3PaS8, optimized geometry; values from VASP
! formation energy (no corrections): -24.82 eV per formula unit
! total magnetization: 5.0 μB/f.u.
! V: 382 Å³/f.u.
&SYSTEM
  ibrav = 0, nat = 16, ntyp = 4
/
ATOMIC_SPECIES
S 32.06 S.upf
Ce 140.12 Ce.upf
Na 22.99 Na.upf
Pa 231.04 Pa.upf
ATOMIC_POSITIONS crystal
S 0.842 0.902 0.166
S 0.838 0.427 0.675
S 0.665 0.567 0.330
S 0.162 0.573 0.325
S 0.158 0.098 0.834
S 0.324 0.902 0.166
S 0.335 0.433 0.670
S 0.676 0.098 0.834
Ce 0.500 0.500 0.000
Ce 0.000 0.500 0.500
Ce 0.500 0.500 0.500
Na 0.000 0.000 0.000
Na 0.500 0.000 0.500
Na 0.500 0.000 0.000
Na 0.000 0.000 0.500
Pa 0.000 0.500 0.000
CELL_PARAMETERS angstrom
8.038 0.000 0.000
0.000 6.745 -1.709
-4.019 -5.044 8.332

(4)
! PBE Na3Ce2PaS6, optimized geometry; values from VASP
! formation energy (no corrections): -19.62 eV per formula unit
! total magnetization: 4.0 μB/f.u.
! V: 289 Å³/f.u.
&SYSTEM
  ibrav = 0, nat = 12, ntyp = 4
/
ATOMIC_SPECIES
Na 22.99 Na.upf
Ce 140.12 Ce.upf
Pa 231.04 Pa.upf
S 32.06 S.upf
ATOMIC_POSITIONS crystal
Na 0.832 0.168 0.500
Na 0.500 0.500 0.500
Na 0.168 0.832 0.500
Ce 0.333 0.667 0.000
Ce 0.667 0.333 0.000
Pa 0.000 0.000 0.000
S 0.245 0.245 0.768
S 0.078 0.401 0.235
S 0.599 0.922 0.765
S 0.401 0.078 0.235
S 0.755 0.755 0.232
S 0.922 0.599 0.765
CELL_PARAMETERS angstrom
7.040 0.000 -0.001
-3.518 6.097 -0.001
-1.175 -2.035 6.726